1.
Entry from Alexandria: a relaxed structure of CdInAg2 (PBEsol).

Lattice parameters (Å, degrees): 3.148 4.099 5.858 90.00 90.00 90.00
Positions (direct):
1 In 0.500 0.500 0.766
2 Ag 0.000 0.000 0.002
3 Ag 0.500 0.500 0.252
4 Cd 0.000 0.000 0.480

E_form ... -0.02 eV/atom
Symmetry ... Pmm2

---

2.
Entry from Alexandria: a relaxed structure of Rb2PrCuCl6 (PBEsol).

Lattice parameters (Å, degrees): 7.331 7.331 7.331 60.00 60.00 60.00
Positions (direct):
1 Rb 0.750 0.750 0.750
2 Rb 0.250 0.250 0.250
3 Pr 0.500 0.500 0.500
4 Cu 0.000 0.000 0.000
5 Cl 0.762 0.238 0.238
6 Cl 0.762 0.762 0.238
7 Cl 0.238 0.762 0.762
8 Cl 0.762 0.238 0.762
9 Cl 0.238 0.762 0.238
10 Cl 0.238 0.238 0.762

Symmetry ... Fm-3m
Formation energy without anion corrections ... -1.730 eV per atom

---

3.
Entry from Alexandria: a relaxed structure of ZnCo2Ir (PBEsol).

Lattice parameters (Å, degrees): 2.569 2.569 8.423 90.00 90.00 116.64
Positions (direct):
1 Zn 0.500 0.500 0.000
2 Ir 0.500 0.500 0.500
3 Co 0.000 0.000 0.246
4 Co 0.000 0.000 0.754

E_form ... 0.20 eV/atom
Symmetry ... Cmmm

---

4.
Entry from Alexandria: a relaxed structure of Pr2Sc3Si4 (PBEsol).

Lattice parameters (Å, degrees): 7.173 7.460 14.087 90.00 90.00 90.00
Positions (direct):
1 Pr 0.989 0.828 0.403
2 Pr 0.489 0.672 0.403
3 Pr 0.511 0.328 0.903
4 Pr 0.511 0.328 0.597
5 Pr 0.011 0.172 0.597
6 Pr 0.011 0.172 0.903
7 Pr 0.489 0.672 0.097
8 Pr 0.989 0.828 0.097
9 Sc 0.670 0.824 0.625
10 Sc 0.330 0.176 0.375
11 Sc 0.337 0.000 0.750
12 Sc 0.830 0.324 0.375
13 Sc 0.170 0.676 0.875
14 Sc 0.170 0.676 0.625
15 Sc 0.163 0.500 0.250
16 Sc 0.663 0.000 0.250
17 Sc 0.670 0.824 0.875
18 Sc 0.830 0.324 0.125
19 Sc 0.330 0.176 0.125
20 Sc 0.837 0.500 0.750
21 Si 0.712 0.117 0.750
22 Si 0.536 0.375 0.250
23 Si 0.964 0.875 0.750
24 Si 0.464 0.625 0.750
25 Si 0.848 0.537 0.540
26 Si 0.036 0.125 0.250
27 Si 0.288 0.883 0.250
28 Si 0.152 0.463 0.040
29 Si 0.652 0.037 0.040
30 Si 0.848 0.537 0.960
31 Si 0.348 0.963 0.540
32 Si 0.652 0.037 0.460
33 Si 0.152 0.463 0.460
34 Si 0.212 0.383 0.750
35 Si 0.788 0.617 0.250
36 Si 0.348 0.963 0.960

Symmetry ... Pnma
Formation energy without anion corrections ... -0.845 eV per atom

---

5.
Entry from Alexandria: a relaxed structure of CaPd3W (PBEsol).

Lattice parameters (Å, degrees): 4.808 4.808 4.808 90.00 90.00 90.00
Positions (direct):
1 Ca 0.500 0.500 0.500
2 Pd 0.000 0.500 0.000
3 Pd 0.000 0.000 0.500
4 Pd 0.500 0.000 0.000
5 W 0.000 0.000 0.000

E_form ... 0.54 eV/atom
Symmetry ... Pm-3m

---

6.
Entry from Alexandria: a relaxed structure of SiTeMo (PBEsol).

Lattice parameters (Å, degrees): 3.344 3.344 5.263 108.52 108.52 90.00
Positions (direct):
1 Mo 0.975 0.975 0.950
2 Te 0.663 0.663 0.325
3 Si 0.363 0.363 0.725

Symmetry ... I4mm
Formation energy without anion corrections ... 0.189 eV per atom

---

7.
Entry from Alexandria: a relaxed structure of Ba2MgIr (PBEsol).

Lattice parameters (Å, degrees): 5.311 5.311 5.311 60.00 60.00 60.00
Positions (direct):
1 Ba 0.000 0.000 0.000
2 Ba 0.750 0.750 0.750
3 Ir 0.500 0.500 0.500
4 Mg 0.250 0.250 0.250

E_form ... 0.22 eV/atom
Symmetry ... F-43m

---

8.
Entry from Alexandria: a relaxed structure of Pd2SeBr (PBEsol).

Lattice parameters (Å, degrees): 6.471 6.119 6.471 121.93 90.00 121.93
Positions (direct):
1 Se 0.750 0.500 0.250
2 Se 0.500 0.000 0.500
3 Br 0.250 0.500 0.750
4 Br 0.000 0.000 0.000
5 Pd 0.404 0.250 0.375
6 Pd 0.846 0.250 0.875
7 Pd 0.125 0.750 0.596
8 Pd 0.625 0.750 0.154

Symmetry ... I-42d
Formation energy without anion corrections ... -0.022 eV per atom

---

9.
Entry from Alexandria: a relaxed structure of CrIr2 (PBEsol).

Lattice parameters (Å, degrees): 2.685 7.138 7.138 120.00 90.00 90.00
Positions (direct):
1 Cr 0.500 0.000 0.000
2 Cr 0.000 0.667 0.333
3 Cr 0.000 0.333 0.667
4 Ir 0.000 0.000 0.299
5 Ir 0.500 0.000 0.638
6 Ir 0.000 0.701 0.701
7 Ir 0.000 0.299 0.000
8 Ir 0.500 0.362 0.362
9 Ir 0.500 0.638 0.000

E_form ... -0.16 eV/atom
Symmetry ... P-62m

---

10.
Entry from Alexandria: a relaxed structure of Rb2Mo2H4C4O15 (PBEsol).

Lattice parameters (Å, degrees): 6.786 7.681 14.124 90.00 90.00 94.11
Positions (direct):
1 Rb 0.129 0.813 0.366
2 Rb 0.371 0.187 0.866
3 Rb 0.871 0.187 0.634
4 Rb 0.629 0.813 0.134
5 Mo 0.386 0.892 0.608
6 Mo 0.114 0.108 0.108
7 Mo 0.886 0.892 0.892
8 Mo 0.614 0.108 0.392
9 H 0.728 0.706 0.565
10 H 0.231 0.740 0.819
11 H 0.769 0.260 0.181
12 H 0.731 0.740 0.681
13 H 0.269 0.260 0.319
14 H 0.228 0.706 0.935
15 H 0.272 0.294 0.435
16 H 0.772 0.294 0.065
17 C 0.762 0.516 0.930
18 C 0.747 0.538 0.822
19 C 0.738 0.484 0.430
20 C 0.247 0.538 0.678
21 C 0.753 0.462 0.322
22 C 0.238 0.484 0.070
23 C 0.253 0.462 0.178
24 C 0.262 0.516 0.570
25 O 0.466 0.026 0.698
26 O 0.646 0.934 0.910
27 O 0.819 0.581 0.270
28 O 0.854 0.066 0.410
29 O 0.200 0.376 0.533
30 O 0.181 0.419 0.730
31 O 0.821 0.220 0.118
32 O 0.354 0.066 0.090
33 O 0.681 0.419 0.770
34 O 0.146 0.934 0.590
35 O 0.162 0.348 0.027
36 O 0.690 0.306 0.293
37 O 0.810 0.694 0.793
38 O 0.034 0.974 0.198
39 O 0.300 0.624 0.033
40 O 0.838 0.652 0.973
41 O 0.700 0.376 0.967
42 O 0.662 0.348 0.473
43 O 0.179 0.780 0.882
44 O 0.190 0.306 0.207
45 O 0.000 0.000 0.000
46 O 0.321 0.220 0.382
47 O 0.319 0.581 0.230
48 O 0.338 0.652 0.527
49 O 0.800 0.624 0.467
50 O 0.966 0.026 0.802
51 O 0.310 0.694 0.707
52 O 0.679 0.780 0.618
53 O 0.534 0.974 0.302
54 O 0.500 0.000 0.500

Symmetry ... P2_1/c

---

11.
Entry from Alexandria: a relaxed structure of KSr2Te (PBEsol).

Lattice parameters (Å, degrees): 6.191 6.191 6.191 60.00 60.00 60.00
Positions (direct):
1 K 0.500 0.500 0.500
2 Sr 0.000 0.000 0.000
3 Sr 0.750 0.750 0.750
4 Te 0.250 0.250 0.250

Symmetry ... F-43m
Formation energy without anion corrections ... -0.268 eV per atom

---

12.
Entry from Alexandria: a relaxed structure of Li2RhN2 (PBEsol).

Lattice parameters (Å, degrees): 3.503 4.976 4.976 90.00 90.00 90.00
Positions (direct):
1 Li 0.500 0.176 0.676
2 Li 0.500 0.676 0.824
3 Li 0.500 0.824 0.324
4 Li 0.500 0.324 0.176
5 Rh 0.000 0.000 0.000
6 Rh 0.000 0.500 0.500
7 N 0.000 0.400 0.900
8 N 0.000 0.900 0.600
9 N 0.000 0.600 0.100
10 N 0.000 0.100 0.400

Symmetry ... P4/mbm
Formation energy without anion corrections ... -0.356 eV per atom

---

13.
Entry from Alexandria: a relaxed structure of CaCd (PBEsol).

Lattice parameters (Å, degrees): 3.698 3.698 8.274 90.00 90.00 90.00
Positions (direct):
1 Ca 0.500 0.000 0.822
2 Ca 0.000 0.500 0.178
3 Cd 0.500 0.000 0.405
4 Cd 0.000 0.500 0.595

E_form ... -0.23 eV/atom
Symmetry ... P4/nmm

---

14.
Entry from Alexandria: a relaxed structure of ScMn2Al (PBEsol).

Lattice parameters (Å, degrees): 2.787 2.787 7.164 90.00 90.00 90.00
Positions (direct):
1 Sc 0.000 0.000 0.470
2 Mn 0.000 0.000 0.034
3 Mn 0.500 0.500 0.197
4 Al 0.500 0.500 0.799

E_form ... -0.18 eV/atom
Symmetry ... P4mm

---

15.
Entry from Alexandria: a relaxed structure of KB2Rh2 (PBEsol).

Lattice parameters (Å, degrees): 4.083 4.083 6.632 107.93 107.93 90.00
Positions (direct):
1 K 0.000 0.000 0.000
2 B 0.250 0.750 0.500
3 B 0.750 0.250 0.500
4 Rh 0.256 0.256 0.513
5 Rh 0.744 0.744 0.487

E_form ... 0.00 eV/atom
Symmetry ... I4/mmm

---

16.
Entry from Alexandria: a relaxed structure of Si2TcSe (PBEsol).

Lattice parameters (Å, degrees): 3.099 3.099 6.170 90.00 90.00 90.00
Positions (direct):
1 Se 0.500 0.500 0.500
2 Si 0.000 0.000 0.788
3 Si 0.000 0.000 0.212
4 Tc 0.500 0.500 0.000

Symmetry ... P4/mmm
Formation energy without anion corrections ... 0.012 eV per atom

---

17.
Entry from Alexandria: a relaxed structure of Al4Cu9 (PBEsol).

Lattice parameters (Å, degrees): 8.596 8.596 8.596 90.00 90.00 90.00
Positions (direct):
1 Al 0.122 0.122 0.122
2 Al 0.878 0.122 0.878
3 Al 0.878 0.878 0.122
4 Al 0.122 0.878 0.878
5 Al 0.809 0.465 0.191
6 Al 0.465 0.809 0.191
7 Al 0.809 0.535 0.809
8 Al 0.535 0.809 0.809
9 Al 0.191 0.809 0.465
10 Al 0.809 0.191 0.465
11 Al 0.535 0.191 0.191
12 Al 0.465 0.191 0.809
13 Al 0.191 0.465 0.809
14 Al 0.191 0.535 0.191
15 Al 0.809 0.809 0.535
16 Al 0.191 0.191 0.535
17 Cu 0.326 0.674 0.674
18 Cu 0.644 0.000 0.000
19 Cu 0.000 0.000 0.356
20 Cu 0.000 0.000 0.644
21 Cu 0.000 0.644 0.000
22 Cu 0.000 0.356 0.000
23 Cu 0.855 0.500 0.500
24 Cu 0.145 0.500 0.500
25 Cu 0.500 0.500 0.855
26 Cu 0.500 0.500 0.145
27 Cu 0.356 0.000 0.000
28 Cu 0.500 0.855 0.500
29 Cu 0.316 0.316 0.031
30 Cu 0.684 0.031 0.684
31 Cu 0.684 0.969 0.316
32 Cu 0.969 0.684 0.316
33 Cu 0.031 0.684 0.684
34 Cu 0.316 0.684 0.969
35 Cu 0.684 0.316 0.969
36 Cu 0.031 0.316 0.316
37 Cu 0.316 0.031 0.316
38 Cu 0.969 0.316 0.684
39 Cu 0.316 0.969 0.684
40 Cu 0.684 0.684 0.031
41 Cu 0.674 0.674 0.326
42 Cu 0.674 0.326 0.674
43 Cu 0.326 0.326 0.326
44 Cu 0.831 0.169 0.169
45 Cu 0.169 0.169 0.831
46 Cu 0.169 0.831 0.169
47 Cu 0.831 0.831 0.831
48 Cu 0.605 0.395 0.395
49 Cu 0.395 0.395 0.605
50 Cu 0.395 0.605 0.395
51 Cu 0.605 0.605 0.605
52 Cu 0.500 0.145 0.500

E_form ... -0.23 eV/atom
Symmetry ... P-43m

---

18.
Entry from Alexandria: a relaxed structure of Rb2TcW (PBEsol).

Lattice parameters (Å, degrees): 5.578 5.578 5.578 60.00 60.00 60.00
Positions (direct):
1 Rb 0.250 0.250 0.250
2 Rb 0.750 0.750 0.750
3 Tc 0.000 0.000 0.000
4 W 0.500 0.500 0.500

E_form ... 3.01 eV/atom
Symmetry ... Fm-3m

---

19.
Entry from Alexandria: a relaxed structure of LiCoSb2 (PBEsol).

Lattice parameters (Å, degrees): 3.157 3.157 7.310 90.00 90.00 90.00
Positions (direct):
1 Sb 0.000 0.000 0.922
2 Sb 0.500 0.500 0.342
3 Co 0.000 0.000 0.532
4 Li 0.500 0.500 0.704

Symmetry ... P4mm
Formation energy without anion corrections ... -0.019 eV per atom

---

20.
Entry from Alexandria: a relaxed structure of BeTl2Os (PBEsol).

Lattice parameters (Å, degrees): 3.044 4.553 6.211 111.50 104.19 90.00
Positions (direct):
1 Be 0.572 0.572 0.145
2 Tl 0.965 0.965 0.929
3 Tl 0.744 0.244 0.487
4 Os 0.219 0.719 0.439

E_form ... 0.66 eV/atom
Symmetry ... Imm2

---

21.
Entry from Alexandria: a relaxed structure of AlNi3 (PBEsol).

Lattice parameters (Å, degrees): 2.596 4.182 4.727 116.25 105.94 90.00
Positions (direct):
1 Ni 0.500 0.484 0.000
2 Ni 0.749 0.099 0.498
3 Ni 0.251 0.601 0.502
4 Al 0.000 0.983 0.000

E_form ... -0.34 eV/atom
Symmetry ... Imm2

---

| no. | energy (eV/atom) | V (Å³/cell) |
| --- | --- | --- |
| 1 | -2.725 | 75.59 |
| 2 | -4.091 | 278.63 |
| 3 | -6.523 | 49.69 |
| 4 | -6.753 | 753.81 |
| 5 | -6.225 | 111.16 |
| 6 | -6.824 | 52.56 |
| 7 | -3.741 | 105.95 |
| 8 | -4.432 | 170.12 |
| 9 | -10.123 | 118.46 |
| 10 | -7.284 | 734.33 |
| 11 | -2.353 | 167.76 |
| 12 | -6.181 | 86.73 |
| 13 | -1.895 | 113.12 |
| 14 | -7.732 | 55.63 |
| 15 | -6.291 | 99.53 |
| 16 | -6.641 | 59.24 |
| 17 | -4.486 | 635.19 |
| 18 | -3.774 | 122.74 |
| 19 | -4.724 | 72.86 |
| 20 | -4.713 | 77.26 |
| 21 | -5.986 | 43.80 |